{
  "formula": "VInSn2Cl8",
  "functional": "PBE-GGA",
  "state": "relaxed",
  "raw_formation_energy_kcal_per_mol_atoms": -23.47,
  "spacegroup": "No. 2",
  "dos_ef_per_ev_cell": 8.11,
  "lattice_angstrom": [[-1.7592, -6.2646, 3.3957], [4.4150, -2.7728, -3.3659], [3.4348, 1.0679, 7.7144]],
  "species": ["V", "In", "Sn", "Sn", "Cl", "Cl", "Cl", "Cl", "Cl", "Cl", "Cl", "Cl"],
  "fractional_positions": [[0.0000, 0.0000, 0.0000], [0.0000, 0.0000, 0.5000], [0.3942, 0.5428, 0.7674], [0.6058, 0.4572, 0.2326], [0.1713, 0.8061, 0.1237], [0.7164, 0.8142, 0.0895], [0.9245, 0.3008, 0.2576], [0.8287, 0.1939, 0.8763], [0.2836, 0.1858, 0.9105], [0.0755, 0.6992, 0.7424], [0.6182, 0.7480, 0.5138], [0.3818, 0.2520, 0.4862]]
}